Material: NdTlTe4
Method: DFT, PBE
State: optimized geometry

Lattice parameters (Å, degrees): 6.925 6.925 8.811 90.00 90.00 90.00
Fractional positions:
Nd (0.000, 0.000, 0.000)
Nd (0.500, 0.500, 0.000)
Te (0.856, 0.356, 0.219)
Te (0.144, 0.644, 0.219)
Te (0.644, 0.856, 0.219)
Te (0.356, 0.856, 0.781)
Te (0.144, 0.356, 0.781)
Te (0.356, 0.144, 0.219)
Te (0.644, 0.144, 0.781)
Te (0.856, 0.644, 0.781)
Tl (0.000, 0.000, 0.500)
Tl (0.500, 0.500, 0.500)

The symmetry is P4/nbm (125). The density of states at the Fermi level comes out at 0.080 states/eV per atom. The formation energy from raw total energies is -0.723 eV/atom. For the volume, the calculation gives 35.21 Å³/atom.

=====

Material: Tl2Ga7Au12
Method: DFT, PBE
State: optimized geometry

Lattice parameters (Å, degrees): 4.432 10.426 10.426 120.00 90.00 90.00
Fractional positions:
Tl (0.500, 0.000, 0.000)
Tl (0.000, 0.667, 0.333)
Ga (0.000, 0.099, 0.812)
Ga (0.500, 0.962, 0.359)
Ga (0.000, 0.188, 0.287)
Ga (0.000, 0.713, 0.901)
Ga (0.000, 0.333, 0.667)
Ga (0.500, 0.397, 0.038)
Ga (0.500, 0.641, 0.603)
Au (0.500, 0.884, 0.580)
Au (0.000, 0.903, 0.187)
Au (0.500, 0.213, 0.748)
Au (0.000, 0.491, 0.965)
Au (0.500, 0.696, 0.116)
Au (0.500, 0.535, 0.787)
Au (0.000, 0.473, 0.509)
Au (0.500, 0.252, 0.465)
Au (0.500, 0.420, 0.304)
Au (0.000, 0.813, 0.716)
Au (0.000, 0.035, 0.527)
Au (0.000, 0.284, 0.097)

The calculation puts the energy of formation at -2.713 eV per formula unit. The symmetry is P-6 (174). The density of states at the Fermi level comes out at 0.304 states/eV per atom. For the volume, the calculation gives 19.87 Å³/atom.

=====

Which of these has the lowest density of states at the Fermi level?
NdTlTe4

=====

Look up the density of states at the Fermi level of the second one.
0.304 states/eV per atom

=====

Among the records above, which one has the highest volume?
NdTlTe4